No. 1
# NaCd2InAu4 (GGA-PBE, optimized geometry)
data_NaCd2InAu4
_chemical_formula_sum 'Na1 Cd2 In1 Au4'
_cell_length_a 4.819
_cell_length_b 4.819
_cell_length_c 8.422
_cell_angle_alpha 73.38
_cell_angle_beta 73.38
_cell_angle_gamma 60.00
_symmetry_space_group_name_H-M 'P 1'
_symmetry_Int_Tables_number 1
_symmetry_space_group_name_Hall 'P 1'
loop_
_atom_site_label
_atom_site_type_symbol
_atom_site_fract_x
_atom_site_fract_y
_atom_site_fract_z
Na1 Na 0.000 0.000 0.000
Cd1 Cd 0.744 0.744 0.769
Cd2 Cd 0.256 0.256 0.231
In1 In 0.500 0.500 0.500
Au1 Au 0.379 0.379 0.863
Au2 Au 0.872 0.872 0.385
Au3 Au 0.128 0.128 0.615
Au4 Au 0.621 0.621 0.137
# Symmetry: R-3m

***

No. 2
# NaCd2InAu (GGA-PBE, optimized geometry)
data_NaCd2InAu
_chemical_formula_sum 'Na1 Cd2 In1 Au1'
_cell_length_a 5.323
_cell_length_b 5.323
_cell_length_c 5.402
_cell_angle_alpha 90.00
_cell_angle_beta 90.00
_cell_angle_gamma 90.00
_symmetry_space_group_name_H-M 'P 1'
_symmetry_Int_Tables_number 1
_symmetry_space_group_name_Hall 'P 1'
loop_
_atom_site_label
_atom_site_type_symbol
_atom_site_fract_x
_atom_site_fract_y
_atom_site_fract_z
Na1 Na 0.500 0.500 0.500
Cd1 Cd 0.000 0.500 0.000
Cd2 Cd 0.500 0.000 0.000
Au1 Au 0.000 0.000 0.000
In1 In 0.000 0.000 0.500
# Symmetry: P4/mmm

***

No. 3
# Na2Cd6InAu (GGA-PBE, optimized geometry)
data_Na2Cd6InAu
_chemical_formula_sum 'Na4 Cd12 In2 Au2'
_cell_length_a 7.471
_cell_length_b 7.471
_cell_length_c 12.684
_cell_angle_alpha 72.87
_cell_angle_beta 72.87
_cell_angle_gamma 60.00
_symmetry_space_group_name_H-M 'P 1'
_symmetry_Int_Tables_number 1
_symmetry_space_group_name_Hall 'P 1'
loop_
_atom_site_label
_atom_site_type_symbol
_atom_site_fract_x
_atom_site_fract_y
_atom_site_fract_z
Na1 Na 0.905 0.905 0.285
Na2 Na 0.095 0.095 0.715
Na3 Na 0.725 0.725 0.825
Na4 Na 0.275 0.275 0.175
Cd1 Cd 0.934 0.322 0.422
Cd2 Cd 0.322 0.934 0.422
Cd3 Cd 0.322 0.322 0.422
Cd4 Cd 0.066 0.678 0.578
Cd5 Cd 0.678 0.066 0.578
Cd6 Cd 0.678 0.678 0.578
Cd7 Cd 0.625 0.224 0.927
Cd8 Cd 0.224 0.625 0.927
Cd9 Cd 0.224 0.224 0.927
Cd10 Cd 0.375 0.776 0.073
Cd11 Cd 0.776 0.375 0.073
Cd12 Cd 0.776 0.776 0.073
In1 In 0.576 0.576 0.271
In2 In 0.424 0.424 0.729
Au1 Au 0.000 0.000 0.000
Au2 Au 0.500 0.500 0.500
# Symmetry: R-3m

***

Number 1: formation energy from the elements -200 meV per atom. Number 2: formation energy from the elements -10 meV per atom. Number 3: formation energy from the elements -13 meV per atom.